Record 1
Crystalline DySb2Rh at its relaxed geometry, computed with PBE.

Values from the calculation:
**Formation energy from raw total energies**: -195.2 meV/atom
**Total DFT energy (no corrections)**: -20.98 eV per formula unit

Cell lengths 3.484, 3.484, 9.982 Å; angles 79.95, 79.95, 60.00 degrees
Sites, in units of the cell vectors:
Sb 0.105 0.105 0.685
Sb 0.895 0.895 0.315
Rh 0.500 0.500 0.500
Dy 0.000 0.000 0.000

Record 2
Crystalline Li2CaHg at its relaxed geometry, computed with PBE.

Values from the calculation:
**Total DFT energy (no corrections)**: -6.97 eV per formula unit
**DFT formation energy**: -0.2099 eV per atom

Cell lengths 4.358, 4.576, 4.896 Å; angles 90.00, 90.00, 90.00 degrees
Sites, in units of the cell vectors:
Ca 0.500 0.000 0.500
Hg 0.000 0.500 0.500
Li 0.000 0.000 0.000
Li 0.500 0.500 0.000

Record 3
Crystalline KBe2IrO6 at its relaxed geometry, computed with PBE.

Values from the calculation:
**Formation energy from raw total energies**: -1442.7 meV/atom
**Total DFT energy (no corrections)**: -61.59 eV per formula unit

Cell lengths 5.804, 6.525, 6.525 Å; angles 96.19, 79.88, 79.88 degrees
Sites, in units of the cell vectors:
K 0.250 0.901 0.099
K 0.750 0.099 0.901
Be 0.382 0.752 0.627
Be 0.118 0.373 0.248
Be 0.618 0.248 0.373
Be 0.882 0.627 0.752
Ir 0.250 0.294 0.706
Ir 0.750 0.706 0.294
O 0.262 0.001 0.697
O 0.238 0.303 0.999
O 0.738 0.999 0.303
O 0.762 0.697 0.001
O 0.433 0.702 0.370
O 0.067 0.630 0.298
O 0.567 0.298 0.630
O 0.933 0.370 0.702
O 0.184 0.622 0.731
O 0.316 0.269 0.378
O 0.816 0.378 0.269
O 0.684 0.731 0.622

Question: total DFT energy (no corrections) of number 1 (DySb2Rh)?
Answer: -20.98 eV per formula unit